Record 1
InAgPt4: optimized geometry, PBE. Values from VASP.

Values from the calculation:
Total magnetic moment (μB/f.u.): 0.00
Energy of formation (eV/atom): -0.08
Space group: No. 216

Structure (Quantum ESPRESSO input):
```
&SYSTEM
  ibrav = 0, nat = 6, ntyp = 3
/
ATOMIC_SPECIES
Pt 195.08 Pt.upf
In 114.82 In.upf
Ag 107.87 Ag.upf
CELL_PARAMETERS angstrom
0.000 3.781 3.781
3.781 0.000 3.781
3.781 3.781 0.000
ATOMIC_POSITIONS crystal
Pt 0.875 0.375 0.375
In 0.000 0.000 0.000
Pt 0.375 0.875 0.375
Pt 0.375 0.375 0.375
Ag 0.750 0.750 0.750
Pt 0.375 0.375 0.875
```

=====

Record 2
InAgPt2: optimized geometry, PBE. Values from VASP.

Values from the calculation:
Total magnetic moment (μB/f.u.): 0.00
Energy of formation (eV/atom): -0.30
Space group: No. 123

Structure (Quantum ESPRESSO input):
```
&SYSTEM
  ibrav = 0, nat = 4, ntyp = 3
/
ATOMIC_SPECIES
Pt 195.08 Pt.upf
In 114.82 In.upf
Ag 107.87 Ag.upf
CELL_PARAMETERS angstrom
4.165 0.000 0.000
0.000 4.164 0.000
0.000 0.000 3.946
ATOMIC_POSITIONS crystal
Pt 0.000 0.000 0.000
In 0.000 0.500 0.500
Ag 0.500 0.000 0.500
Pt 0.500 0.500 0.000
```